The following is a GGA+U calculation of a relaxed Mn2As2O crystal, from Alexandria via LeMat-Bulk.

abc: 5.1981 5.1981 6.9745
angles: 90.00 90.00 90.00
Closest atoms and distances in Å follow each position.
Positions (direct):
Mn (0.0000, 0.5000, 0.2500)  4 As 2.62
Mn (0.0000, 0.5000, 0.7500)  4 As 2.62
Mn (0.5000, 0.0000, 0.2500)  4 As 2.62
Mn (0.5000, 0.0000, 0.7500)  4 As 2.62
As (0.0000, 0.0000, 0.2074)  1 O 2.04
As (0.0000, 0.0000, 0.7926)  1 O 2.04
As (0.5000, 0.5000, 0.2926)  1 O 2.04
As (0.5000, 0.5000, 0.7074)  1 O 2.04
O (0.0000, 0.0000, 0.5000)  2 As 2.04
O (0.5000, 0.5000, 0.0000)  2 As 2.04

Values from the calculation:
Relative energy among the computed polymorphs: 0.000 kcal/mol of atoms
Magnetic moment: 1.769 μB per atom
Symmetry: I4/mmm, No. 139